Entry 1:
# KTiAl2Te

An optimized crystal structure of KTiAl2Te (GGA-PBEsol, Alexandria).

Lattice parameters (Å, degrees): 5.0588 5.4866 5.4866 90.00 90.00 90.00
Element x y z (fractional)
K 0.0000 0.0000 0.0000
Te 0.5000 0.5000 0.5000
Ti 0.5000 0.0000 0.0000
Al 0.0000 0.5000 0.0000
Al 0.0000 0.0000 0.5000

Calculated values
The space group is P4/mmm (123). For the density of states at the Fermi level, the calculation gives 6.0 states/eV/f.u. For the electronic total energy, the calculation gives -2.5684 eV per atom.

Entry 2:
# KTiAlTe2

An optimized crystal structure of KTiAlTe2 (GGA-PBEsol, Alexandria).

Lattice parameters (Å, degrees): 4.8490 5.8874 5.8874 90.00 90.00 90.00
Element x y z (fractional)
Al 0.5000 0.5000 0.5000
K 0.0000 0.0000 0.0000
Te 0.0000 0.0000 0.5000
Ti 0.5000 0.0000 0.0000
Te 0.0000 0.5000 0.0000

Calculated values
The space group is P4/mmm (123). For the density of states at the Fermi level, the calculation gives 6.9 states/eV/f.u. For the electronic total energy, the calculation gives -2.8624 eV per atom.

Entry 3:
# K2AlTl

An optimized crystal structure of K2AlTl (GGA-PBEsol, Alexandria).

Lattice parameters (Å, degrees): 4.7816 4.7816 6.5653 111.36 111.36 90.00
Element x y z (fractional)
K 0.2500 0.7500 0.5000
K 0.7500 0.2500 0.5000
Tl 0.5000 0.5000 0.0000
Al 0.0000 0.0000 0.0000

Calculated values
The space group is I4/mmm (139). For the density of states at the Fermi level, the calculation gives 3.0 states/eV/f.u. The value obtained for the energy of formation is 0.287 eV per atom.

Entry 4:
# K2AlTl

An optimized crystal structure of K2AlTl (GGA-PBEsol, Alexandria).

Lattice parameters (Å, degrees): 6.0927 7.4577 7.4577 80.39 65.89 65.89
Element x y z (fractional)
Tl 0.7500 0.5000 0.5000
K 0.8750 0.5048 0.9952
Tl 0.0000 0.0000 0.0000
K 0.1298 0.9952 0.4952
K 0.3750 0.4952 0.0048
Al 0.5000 0.0000 0.0000
Al 0.2500 0.5000 0.5000
K 0.6202 0.0048 0.5048

Calculated values
The space group is I-42d (122). For the density of states at the Fermi level, the calculation gives 2.5 states/eV/f.u. The value obtained for the energy of formation is 0.366 eV per atom.

Entry 5:
# KAl2Tl

An optimized crystal structure of KAl2Tl (GGA-PBEsol, Alexandria).

Lattice parameters (Å, degrees): 3.1597 4.0077 8.0646 90.00 90.06 90.00
Element x y z (fractional)
K 0.0003 0.0000 0.4886
Al 0.9993 0.0000 0.0328
Tl 0.5016 0.5000 0.8030
Al 0.4988 0.5000 0.1756

Calculated values
The space group is Pm (6). For the density of states at the Fermi level, the calculation gives 2.1 states/eV/f.u. The value obtained for the energy of formation is 0.119 eV per atom.

Entry 6:
# K2AlTl

An optimized crystal structure of K2AlTl (GGA-PBEsol, Alexandria).

Lattice parameters (Å, degrees): 4.7691 6.1219 6.2904 119.12 112.28 90.00
Element x y z (fractional)
Al 0.1812 0.1812 0.3623
K 0.9715 0.4715 0.9431
Tl 0.5651 0.0651 0.1301
K 0.7823 0.7823 0.5645

Calculated values
The space group is Imm2 (44). For the density of states at the Fermi level, the calculation gives 1.0 states/eV/f.u. The value obtained for the energy of formation is 0.094 eV per atom.